Entry 1:
The following is a DFT calculation (PBE) of a relaxed LiFeTc2 crystal.

## Properties
**Energy above the lowest structure with this stoichiometry**: 85 meV/atom
**DFT formation energy**: 111 kJ/mol of formula units

abc: 3.2338 3.9639 4.1381
angles: 90.00 90.00 90.00
With the nearest neighbours (Å) after each atom.
Atoms (fractional coordinates):
Tc1 0.0000 0.0000 0.0000  4 Tc 2.56, 4 Fe 2.63
Tc2 0.5000 0.5000 0.0000  4 Tc 2.56, 4 Li 2.63
Li1 0.0000 0.5000 0.5000  4 Fe 2.56, 4 Tc 2.63
Fe1 0.5000 0.0000 0.5000  4 Li 2.56, 4 Tc 2.63

Entry 2:
The following is a DFT calculation (PBE) of a relaxed LiFeTc2 crystal.

## Properties
**Energy above the lowest structure with this stoichiometry**: 50 meV/atom
**DFT formation energy**: 97 kJ/mol of formula units

abc: 4.7881 4.7881 4.7881
angles: 142.03 128.33 65.89
With the nearest neighbours (Å) after each atom.
Atoms (fractional coordinates):
Tc1 0.9942 0.9942 0.0000  2 Tc 2.52, 4 Fe 2.60, 2 Li 2.62
Tc2 0.7471 0.2471 0.5000  2 Fe 2.51, 2 Tc 2.52, 4 Li 2.60
Li1 0.2562 0.7562 0.5000  2 Fe 2.52, 6 Tc 2.60-2.62
Fe1 0.5024 0.5024 0.0000  6 Tc 2.51-2.60, 2 Li 2.52

Entry 3:
The following is a DFT calculation (PBE) of a relaxed LiTiFeTc2 crystal.

## Properties
**DFT formation energy**: 758 kJ/mol of formula units

abc: 4.4426 4.2188 4.4426
angles: 90.00 90.00 90.00
With the nearest neighbours (Å) after each atom.
Atoms (fractional coordinates):
Tc1 0.5000 0.0000 0.0000  2 Ti 2.22
Tc2 0.0000 0.0000 0.5000  2 Ti 2.22
Fe1 0.5000 0.5000 0.5000  8 Tc 3.06, 4 Li 3.14
Ti1 0.0000 0.0000 0.0000  2 Li 2.11, 4 Tc 2.22
Li1 0.0000 0.5000 0.0000  2 Ti 2.11

Entry 4:
The following is a DFT calculation (PBE) of a relaxed LiFeTcW crystal.

## Properties
**DFT formation energy**: 84 kJ/mol of formula units

abc: 4.2305 4.2305 4.2305
angles: 60.00 60.00 60.00
With the nearest neighbours (Å) after each atom.
Atoms (fractional coordinates):
W1 0.7500 0.7500 0.7500  4 Fe 2.59, 4 Tc 2.59
Li1 0.2500 0.2500 0.2500  4 Fe 2.59, 4 Tc 2.59
Fe1 0.0000 0.0000 0.0000  4 W 2.59, 4 Li 2.59
Tc1 0.5000 0.5000 0.5000  4 Li 2.59, 4 W 2.59